Entry 1:
The following is a GGA-PBE calculation of a geometry-optimized ReRu3Cl structure, from the Alexandria database.

Summary:
formation energy (no corrections): 1761 meV/atom
energy above the lowest structure with this stoichiometry: 227 meV/atom
SG: Pm-3m (221)
density of states at the Fermi level: 5.0 states/eV per cell
theoretical density: 8.04 g cm⁻³

Cell lengths 4.768, 4.768, 4.768 Å; angles 90.00, 90.00, 90.00 degrees
Each line ends with the local moment (μB).
Fractional positions:
Re: 0.000 0.000 0.000  -0.21
Cl: 0.500 0.500 0.500  0.20
Ru: 0.000 0.500 0.000  1.31
Ru: 0.000 0.000 0.500  1.29
Ru: 0.500 0.000 0.000  1.04

=====

Entry 2:
The following is a GGA-PBE calculation of a geometry-optimized Pm8TlPb6 structure, from the Alexandria database.

Summary:
SG: R-3 (148)
density of states at the Fermi level: 7.5 states/eV per cell
theoretical density: 8.49 g cm⁻³
energy relative to the elements: -417 meV per atom

Cell lengths 9.486, 9.486, 8.534 Å; angles 56.23, 56.23, 60.00 degrees
Fractional positions:
Pm: 0.622 0.192 0.289
Pm: 0.808 0.102 0.711
Pm: 0.102 0.378 0.711
Pm: 0.668 0.668 0.997
Pm: 0.332 0.332 0.003
Pm: 0.898 0.622 0.289
Pm: 0.192 0.898 0.289
Pm: 0.378 0.808 0.711
Tl: 0.000 0.000 0.000
Pb: 0.443 0.072 0.777
Pb: 0.928 0.292 0.223
Pb: 0.292 0.557 0.223
Pb: 0.708 0.443 0.777
Pb: 0.072 0.708 0.777
Pb: 0.557 0.928 0.223

=====

no.,total DFT energy (no corrections) (eV/f.u.)
1,-33.3
2,-68.9